The following is a DFT calculation (GGA-PBEsol) of a relaxed YSnF7 crystal.

Values from the calculation:
The symmetry is No. 14. As for the excess energy over the best structure of this formula in the dataset: 0.00 eV/f.u.

Unit cell a=8.8582 b=5.5687 c=11.9387 alpha=90.00 beta=117.61 gamma=90.00
Last column: nearest neighbours and their distance in Å.
Fractional positions:
Y: 0.1866 0.2423 0.2656  8 F 2.16-2.33
Y: 0.1866 0.2577 0.7656  8 F 2.16-2.33
Y: 0.8134 0.7423 0.2344  8 F 2.16-2.33
Y: 0.8134 0.7577 0.7344  8 F 2.16-2.33
Sn: 0.2717 0.7434 0.0429  6 F 1.97-1.99
Sn: 0.2717 0.7566 0.5429  6 F 1.97-1.99
Sn: 0.7283 0.2434 0.4571  6 F 1.97-1.99
Sn: 0.7283 0.2566 0.9571  6 F 1.97-1.99
F: 0.0207 0.7415 0.9455  1 Sn 1.98
F: 0.0207 0.7585 0.4455  1 Sn 1.98
F: 0.0302 0.5801 0.7338  2 Y 2.16-2.19
F: 0.0302 0.9199 0.2338  2 Y 2.16-2.19
F: 0.2552 0.5437 0.1748  1 Sn 1.99
F: 0.2552 0.9563 0.6748  1 Sn 1.99
F: 0.2716 0.0255 0.1438  1 Sn 1.98
F: 0.2716 0.4745 0.6438  1 Sn 1.98
F: 0.2793 0.0560 0.4546  1 Sn 1.99
F: 0.2793 0.4440 0.9546  1 Sn 1.99
F: 0.2923 0.5465 0.4170  1 Sn 1.98
F: 0.2923 0.9535 0.9170  1 Sn 1.98
F: 0.4778 0.2266 0.3591  1 Sn 1.97
F: 0.4778 0.2734 0.8591  1 Sn 1.97
F: 0.5222 0.7266 0.1409  1 Sn 1.97
F: 0.5222 0.7734 0.6409  1 Sn 1.97
F: 0.7077 0.0465 0.0830  1 Sn 1.98
F: 0.7077 0.4535 0.5830  1 Sn 1.98
F: 0.7207 0.5560 0.0454  1 Sn 1.99
F: 0.7207 0.9440 0.5454  1 Sn 1.99
F: 0.7284 0.5255 0.3562  1 Sn 1.98
F: 0.7284 0.9745 0.8562  1 Sn 1.98
F: 0.7448 0.0437 0.3252  1 Sn 1.99
F: 0.7448 0.4563 0.8252  1 Sn 1.99
F: 0.9698 0.0801 0.7662  2 Y 2.16-2.19
F: 0.9698 0.4199 0.2662  2 Y 2.16-2.19
F: 0.9793 0.2415 0.5545  1 Sn 1.98
F: 0.9793 0.2585 0.0545  1 Sn 1.98



The following is a DFT calculation (GGA-PBEsol) of a relaxed YSnF7 crystal.

Values from the calculation:
The symmetry is No. 4. As for the excess energy over the best structure of this formula in the dataset: 0.04 eV/f.u.

Unit cell a=5.9460 b=5.7119 c=8.1257 alpha=90.00 beta=103.07 gamma=90.00
Last column: nearest neighbours and their distance in Å.
Fractional positions:
Y: 0.1550 0.0000 0.1894  8 F 2.15-2.38
Y: 0.8450 0.5000 0.8106  8 F 2.15-2.38
Sn: 0.3138 0.0052 0.7265  6 F 1.97-1.99
Sn: 0.6862 0.5052 0.2735  6 F 1.97-1.99
F: 0.0244 0.7217 0.0114  2 Y 2.15-2.17
F: 0.0664 0.7668 0.7022  1 Sn 1.98
F: 0.0940 0.2721 0.7033  1 Sn 1.99
F: 0.2737 0.0011 0.4789  1 Sn 1.97
F: 0.3701 0.0062 0.9753  1 Sn 1.97
F: 0.4355 0.7378 0.2631  1 Sn 1.98, 1 Y 2.22
F: 0.4425 0.2614 0.2572  1 Sn 1.99
F: 0.5575 0.7614 0.7428  1 Sn 1.99
F: 0.5645 0.2378 0.7369  1 Sn 1.98, 1 Y 2.22
F: 0.6299 0.5062 0.0247  1 Sn 1.97
F: 0.7263 0.5011 0.5211  1 Sn 1.97
F: 0.9060 0.7721 0.2967  1 Sn 1.99
F: 0.9336 0.2668 0.2978  1 Sn 1.98
F: 0.9756 0.2217 0.9886  2 Y 2.15-2.17



The following is a DFT calculation (GGA-PBEsol) of a relaxed ZnSnF4 crystal.

Values from the calculation:
The symmetry is No. 1.

Unit cell a=4.9465 b=5.5222 c=6.8923 alpha=108.57 beta=107.73 gamma=90.76
Last column: nearest neighbours and their distance in Å.
Fractional positions:
Zn: 0.0000 0.0000 0.0000  6 F 1.96-2.10
Zn: 0.4917 0.5320 0.9927  6 F 1.97-2.07
Sn: 0.2336 0.5975 0.4185  3 F 2.13-2.32
Sn: 0.7641 0.1703 0.5552  4 F 2.12-2.34
F: 0.0542 0.9504 0.7014  1 Zn 2.09, 1 Sn 2.12
F: 0.1406 0.4453 0.7138  1 Zn 2.07, 1 Sn 2.14
F: 0.2698 0.7969 0.1425  2 Zn 1.99-2.04
F: 0.3150 0.3114 0.1191  2 Zn 2.03-2.08
F: 0.6692 0.7331 0.8630  2 Zn 1.96-1.97
F: 0.7258 0.2480 0.8882  2 Zn 2.04-2.10, 1 Sn 2.26
F: 0.8104 0.6812 0.2892  1 Zn 2.07, 1 Sn 2.13
F: 0.9800 0.2067 0.3058  1 Zn 2.09, 1 Sn 2.26



no.,DOS at the Fermi energy (states/eV per cell),formation energy from raw total energies (eV per atom),V (A^3/atom)
1,0.00,-3.251,14.5
2,0.00,-3.246,14.9
3,0.00,-2.253,14.1